[1]
DFT (GGA-PBE) results for a geometry-optimized CsPCBr structure.

Unit cell a=3.1865 b=5.0330 c=7.3409 alpha=82.32 beta=77.67 gamma=89.96
Space group P1 (No. 1)
Symmetry-distinct sites (fractional):
Cs 0.0000 0.0000 0.0000 x1
P 0.1852 0.5637 0.6212 x1
C 0.6386 0.4621 0.7173 x1
Br 0.3623 0.4418 0.2795 x1

offset from the most stable computed form	24	meV/atom
N(E_F)	1.51	states/eV per cell
E_form (uncorrected)	0.94	eV/f.u.
crystal system	triclinic
M_tot	0.0	Bohr magnetons per cell

=====

[2]
DFT (GGA-PBE) results for a geometry-optimized NdPO4 structure.

Unit cell a=6.4528 b=7.0402 c=8.2003 alpha=90.00 beta=125.84 gamma=90.00
Space group P2_1/c (No. 14)
Symmetry-distinct sites (fractional):
Nd 0.1873 0.1566 0.2845 x4
P 0.3083 0.6607 0.1973 x4
O 0.1173 0.6687 0.6184 x4
O 0.1878 0.5041 0.2503 x4
O 0.3387 0.6012 0.0299 x4
O 0.4152 0.2105 0.1247 x4

N(E_F)	0.00	states/eV per cell
E_form (uncorrected)	-17.90	eV/f.u.
crystal system	monoclinic
M_tot	0.0	Bohr magnetons per cell

=====

[3]
DFT (GGA-PBE) results for a geometry-optimized LiPbSe2 structure.

Unit cell a=4.0975 b=4.0975 c=19.5895 alpha=90.00 beta=90.00 gamma=120.00
Space group R-3m (No. 166, hexagonal axes)
Symmetry-distinct sites (fractional):
Li 0.0000 0.0000 0.0000 x3
Pb 0.0000 0.0000 0.5000 x3
Se 0.0000 0.0000 0.2593 x6

N(E_F)	4.44	states/eV per cell
E_form (uncorrected)	-2.56	eV/f.u.
crystal system	trigonal
M_tot	0.0	Bohr magnetons per cell